Entry 1:
SrNpAl2Au5 after structural relaxation, computed with PBE.

## Properties
The calculation puts the density of states at the Fermi level at 1.588 states/eV/atom. The value obtained for the calculated density is 11.5 g/cm³. Its energy of formation from the pure elements is -3.22 eV per formula unit. The value obtained for the total magnetization is 0.471 μB per atom.

Cell: 4.8058 4.8058 8.5001 Å, 90.00 90.00 90.00°
Each line ends with the local moment (μB).
Element x y z (fractional)
Al 0.5000 0.5000 0.1551  -0.01
Al 0.5000 0.5000 0.8449  -0.01
Au 0.5000 0.0000 0.2508  0.00
Au 0.5000 0.5000 0.5000  -0.01
Au 0.5000 0.0000 0.7492  0.00
Au 0.0000 0.5000 0.2508  0.00
Au 0.0000 0.5000 0.7492  0.00
Sr 0.0000 0.0000 0.5000  0.00
Np 0.0000 0.0000 0.0000  4.03

---

Entry 2:
NpAlZnAu after structural relaxation, computed with PBE.

## Properties
The calculation puts the density of states at the Fermi level at 1.539 states/eV/atom. The value obtained for the calculated density is 11.1 g/cm³. Its energy of formation from the pure elements is -0.39 eV per formula unit. The value obtained for the total magnetization is 0.979 μB per atom.

Cell: 4.8145 4.8145 4.8145 Å, 60.00 60.00 60.00°
Each line ends with the local moment (μB).
Element x y z (fractional)
Au 0.5000 0.5000 0.5000  0.00
Al 0.2500 0.2500 0.2500  -0.02
Np 0.7500 0.7500 0.7500  3.72
Zn 0.0000 0.0000 0.0000  0.03

---

Entry 3:
NpAl2ZnAu4 after structural relaxation, computed with PBE.

## Properties
The calculation puts the density of states at the Fermi level at 1.859 states/eV/atom. The value obtained for the calculated density is 12.6 g/cm³. Its energy of formation from the pure elements is -2.08 eV per formula unit. The value obtained for the total magnetization is 0.506 μB per atom.

Cell: 4.4258 4.4258 9.2723 Å, 76.19 76.19 60.00°
Each line ends with the local moment (μB).
Element x y z (fractional)
Au 0.8682 0.8682 0.3954  0.00
Au 0.3958 0.3958 0.8125  0.00
Au 0.1318 0.1318 0.6046  0.00
Au 0.6042 0.6042 0.1875  0.00
Al 0.7572 0.7572 0.7283  0.00
Al 0.2428 0.2428 0.2717  0.00
Np 0.0000 0.0000 0.0000  3.83
Zn 0.5000 0.5000 0.5000  -0.01

---

Entry 4:
NpAl2ZnAu2 after structural relaxation, computed with PBE.

## Properties
The calculation puts the density of states at the Fermi level at 2.034 states/eV/atom. The value obtained for the calculated density is 10.9 g/cm³. Its energy of formation from the pure elements is -1.29 eV per formula unit. The value obtained for the total magnetization is 0.704 μB per atom.

Cell: 4.4743 4.4743 6.6138 Å, 90.00 90.00 120.00°
Each line ends with the local moment (μB).
Element x y z (fractional)
Au 0.6667 0.3333 0.7274  0.01
Au 0.3333 0.6667 0.2726  0.01
Zn 0.0000 0.0000 0.5000  0.01
Al 0.3333 0.6667 0.7019  0.00
Al 0.6667 0.3333 0.2981  0.00
Np 0.0000 0.0000 0.0000  3.88

---

Entry 5:
AlAu3O after structural relaxation, computed with PBE.

## Properties
The calculation puts the density of states at the Fermi level at 1.100 states/eV/atom. The value obtained for the calculated density is 9.6 g/cm³. Its formation energy without anion corrections is 0.8990 eV per atom. The value obtained for the total magnetization is 0.000 μB per atom.

Cell: 4.7925 4.7925 4.7925 Å, 90.00 90.00 90.00°
Element x y z (fractional)
O 0.5000 0.5000 0.5000
Al 0.0000 0.0000 0.0000
Au 0.0000 0.0000 0.5000
Au 0.0000 0.5000 0.0000
Au 0.5000 0.0000 0.0000

---

Entry 6:
AlAuO3 after structural relaxation, computed with PBE.

## Properties
The calculation puts the density of states at the Fermi level at 2.116 states/eV/atom. The value obtained for the calculated density is 8.9 g/cm³. Its formation energy without anion corrections is -0.9312 eV per atom. The value obtained for the total magnetization is 0.000 μB per atom.

Cell: 3.7087 3.7087 3.7087 Å, 90.00 90.00 90.00°
Element x y z (fractional)
Al 0.0000 0.0000 0.0000
Au 0.5000 0.5000 0.5000
O 0.5000 0.0000 0.0000
O 0.0000 0.5000 0.0000
O 0.0000 0.0000 0.5000

---

Entry 7:
AlAu3O after structural relaxation, computed with PBE.

## Properties
The calculation puts the density of states at the Fermi level at 0.180 states/eV/atom. The value obtained for the calculated density is 11.4 g/cm³. Its formation energy without anion corrections is 0.3499 eV per atom. The value obtained for the total magnetization is 0.000 μB per atom.

Cell: 4.5231 4.5231 4.5231 Å, 90.00 90.00 90.00°
Element x y z (fractional)
Au 0.5000 0.0000 0.0000
Au 0.0000 0.0000 0.5000
Au 0.0000 0.5000 0.0000
O 0.0000 0.0000 0.0000
Al 0.5000 0.5000 0.5000

---

Entry 8:
AlAuO3 after structural relaxation, computed with PBE.

## Properties
The calculation puts the density of states at the Fermi level at 0.311 states/eV/atom. The value obtained for the calculated density is 7.0 g/cm³. Its formation energy without anion corrections is 0.1809 eV per atom. The value obtained for the total magnetization is 0.000 μB per atom.

Cell: 4.0158 4.0158 4.0158 Å, 90.00 90.00 90.00°
Element x y z (fractional)
Al 0.5000 0.5000 0.5000
O 0.0000 0.5000 0.0000
O 0.0000 0.0000 0.5000
O 0.5000 0.0000 0.0000
Au 0.0000 0.0000 0.0000